Entry 1:
## CeAgSn (PBE-GGA)

Data for a relaxed CeAgSn crystal.

Cell lengths 4.9083, 4.9083, 3.6020 Å; angles 90.00, 90.00, 120.00 degrees
Space group P3m1 (No. 156)
One atom of each set of equivalent atoms:
Ce 0.0000 0.0000 0.0000 x1
Ag 0.6667 0.3333 0.5009 x1
Sn 0.3333 0.6667 0.4992 x1

M_tot in μB per formula unit: 1.32
E_tot in eV/atom: -4.703
Energy relative to the elements in meV/atom: -440.5
Density of states at the Fermi level in states/eV per cell: 6.75

---

Entry 2:
## Ce2TmHg4 (PBE-GGA)

Data for a relaxed Ce2TmHg4 crystal.

Cell lengths 4.953, 22.413, 3.394 Å; angles 90.00, 90.00, 90.00 degrees
Space group Cmmm (No. 65)
One atom of each set of equivalent atoms:
Ce 0.000 0.158 0.000 x4
Tm 0.000 0.000 0.500 x2
Hg 0.000 0.289 0.500 x4
Hg 0.000 0.434 0.000 x4

M_tot in μB per formula unit: 2.61
E_tot in eV/atom: -2.728
Energy relative to the elements in meV/atom: -221.1
Density of states at the Fermi level in states/eV per cell: 31.57
Energy above the lowest structure with this stoichiometry in meV/atom: 6.6

---

Entry 3:
## YIr2Pt (PBE-GGA)

Data for a relaxed YIr2Pt crystal.

Cell lengths 9.508, 2.961, 5.041 Å; angles 90.00, 100.53, 90.00 degrees
Space group C2/m (No. 12)
One atom of each set of equivalent atoms:
Y 0.000 0.000 0.000 x2
Ir 0.246 0.000 0.716 x4
Pt 0.000 0.500 0.500 x2

M_tot in μB per formula unit: 0.00
E_tot in eV/atom: -7.866
Energy relative to the elements in meV/atom: -309.8
Density of states at the Fermi level in states/eV per cell: 7.31
Energy above the lowest structure with this stoichiometry in meV/atom: 240.1

---

Entry 4:
## DyScS3 (PBE-GGA)

Data for a relaxed DyScS3 crystal.

Cell lengths 7.433, 3.775, 7.640 Å; angles 90.00, 95.87, 90.00 degrees
Space group P2_1/m (No. 11)
One atom of each set of equivalent atoms:
Dy 0.125 0.250 0.273 x2
Sc 0.351 0.750 0.828 x2
S 0.125 0.250 0.889 x2
S 0.191 0.750 0.529 x2
S 0.406 0.750 0.177 x2

M_tot in μB per formula unit: 0.00
E_tot in eV/atom: -6.634

---

Entry 5:
## LiPaPb (PBE-GGA)

Data for a relaxed LiPaPb crystal.

Cell lengths 4.9827, 4.9827, 3.3627 Å; angles 90.00, 90.00, 120.00 degrees
Space group P-6m2 (No. 187)
One atom of each set of equivalent atoms:
Li 0.0000 0.0000 0.0000 x1
Pa 0.6667 0.3333 0.5000 x1
Pb 0.3333 0.6667 0.0000 x1

M_tot in μB per formula unit: 1.69
E_tot in eV/atom: -4.926
Energy relative to the elements in meV/atom: 113.7
Density of states at the Fermi level in states/eV per cell: 4.43

---

Entry 6:
## Ta2InCl (PBE-GGA)

Data for a relaxed Ta2InCl crystal.

Cell lengths 6.815, 6.815, 6.815 Å; angles 90.00, 90.00, 90.00 degrees
Space group F-43m (No. 216)
One atom of each set of equivalent atoms:
Ta 0.000 0.000 0.000 x4
Ta 0.250 0.250 0.250 x4
In 0.000 0.000 0.500 x4
Cl 0.250 0.250 0.750 x4

M_tot in μB per formula unit: 0.02
E_tot in eV/atom: -6.281
Density of states at the Fermi level in states/eV per cell: 25.61
Energy above the lowest structure with this stoichiometry in meV/atom: 920.1

---

Entry 7:
## Ce2ZnGe3 (PBE-GGA)

Data for a relaxed Ce2ZnGe3 crystal.

Cell lengths 8.300, 8.553, 14.743 Å; angles 90.00, 90.00, 90.00 degrees
Space group Fmmm (No. 69)
One atom of each set of equivalent atoms:
Ce 0.242 0.000 0.000 x8
Ce 0.250 0.250 0.250 x8
Zn 0.000 0.000 0.334 x8
Ge 0.000 0.000 0.169 x8
Ge 0.000 0.244 0.415 x16

M_tot in μB per formula unit: 1.75
E_tot in eV/atom: -5.078
Energy relative to the elements in meV/atom: -579.3
Density of states at the Fermi level in states/eV per cell: 90.47
Energy above the lowest structure with this stoichiometry in meV/atom: 0.0

---

Entry 8:
## CeZrHgRh (PBE-GGA)

Data for a relaxed CeZrHgRh crystal.

Cell lengths 3.332, 3.332, 7.884 Å; angles 90.00, 90.00, 90.00 degrees
Space group P4mm (No. 99)
One atom of each set of equivalent atoms:
Ce 0.000 0.000 0.000 x1
Zr 0.000 0.000 0.440 x1
Hg 0.500 0.500 0.699 x1
Rh 0.500 0.500 0.251 x1

M_tot in μB per formula unit: 0.89
E_tot in eV/atom: -5.998
Energy relative to the elements in meV/atom: -464.6
Density of states at the Fermi level in states/eV per cell: 6.63

---

Entry 9:
## Ba2SiPtBr (PBE-GGA)

Data for a relaxed Ba2SiPtBr crystal.

Cell lengths 6.297, 6.297, 4.556 Å; angles 90.00, 90.00, 90.00 degrees
Space group P4/mmm (No. 123)
One atom of each set of equivalent atoms:
Ba 0.000 0.500 0.000 x2
Si 0.000 0.000 0.500 x1
Pt 0.000 0.000 0.000 x1
Br 0.500 0.500 0.500 x1

M_tot in μB per formula unit: 0.00
E_tot in eV/atom: -4.422
Density of states at the Fermi level in states/eV per cell: 1.69

---

Entry 10:
## Ca4S3Br (PBE-GGA)

Data for a relaxed Ca4S3Br crystal.

Cell lengths 4.0770, 4.0770, 40.2728 Å; angles 90.00, 90.00, 120.00 degrees
Space group R-3m (No. 166, hexagonal axes)
One atom of each set of equivalent atoms:
Ca 0.0000 0.0000 0.1170 x6
Ca 0.0000 0.0000 0.3727 x6
S 0.0000 0.0000 0.0000 x3
S 0.0000 0.0000 0.2516 x6
Br 0.0000 0.0000 0.5000 x3

M_tot in μB per formula unit: 0.00
E_tot in eV/atom: -4.694
Density of states at the Fermi level in states/eV per cell: 7.18

---

Entry 11:
## LiTlTc2 (PBE-GGA)

Data for a relaxed LiTlTc2 crystal.

Cell lengths 9.703, 3.119, 4.409 Å; angles 90.00, 102.91, 90.00 degrees
Space group C2/m (No. 12)
One atom of each set of equivalent atoms:
Li 0.000 0.000 0.000 x2
Tl 0.000 0.500 0.500 x2
Tc 0.250 0.000 0.782 x4

M_tot in μB per formula unit: 0.00
E_tot in eV/atom: -5.838
Energy relative to the elements in meV/atom: 414.5
Density of states at the Fermi level in states/eV per cell: 5.66
Energy above the lowest structure with this stoichiometry in meV/atom: 256.7

---

Entry 12:
## HfRePOs (PBE-GGA)

Data for a relaxed HfRePOs crystal.

Cell lengths 8.944, 3.746, 4.450 Å; angles 90.00, 104.85, 90.00 degrees
Space group Cm (No. 8)
One atom of each set of equivalent atoms:
Hf 0.000 0.000 0.000 x2
Re 0.460 0.000 0.463 x2
P 0.188 0.500 0.837 x2
Os 0.268 0.500 0.372 x2

M_tot in μB per formula unit: 0.00
E_tot in eV/atom: -9.960
Energy relative to the elements in meV/atom: -200.2
Density of states at the Fermi level in states/eV per cell: 2.94
Energy above the lowest structure with this stoichiometry in meV/atom: 165.8

---

Entry 13:
## BAsC2 (PBE-GGA)

Data for a relaxed BAsC2 crystal.

Cell lengths 6.962, 2.940, 5.081 Å; angles 90.00, 131.09, 90.00 degrees
Space group Cm (No. 8)
One atom of each set of equivalent atoms:
B 0.000 0.000 0.000 x2
As 0.097 0.500 0.582 x2
C 0.119 0.500 0.999 x2
C 0.422 0.500 0.254 x2

M_tot in μB per formula unit: 0.00
E_tot in eV/atom: -6.903
Energy relative to the elements in meV/atom: 541.2
Energy above the lowest structure with this stoichiometry in meV/atom: 143.2

---

Entry 14:
## La4Pm2NdY2 (PBE-GGA)

Data for a relaxed La4Pm2NdY2 crystal.

Cell lengths 19.198, 3.698, 9.931 Å; angles 90.00, 115.43, 90.00 degrees
Space group C2/m (No. 12)
One atom of each set of equivalent atoms:
La 0.019 0.000 0.332 x4
La 0.184 0.500 0.329 x4
Pm 0.150 0.500 0.675 x4
Nd 0.000 0.500 0.000 x2
Y 0.168 0.000 0.999 x4

M_tot in μB per formula unit: 0.00
E_tot in eV/atom: -5.188
Energy relative to the elements in meV/atom: 23.6
Density of states at the Fermi level in states/eV per cell: 26.09

---

Entry 15:
## RbLa2B2S6 (PBE-GGA)

Data for a relaxed RbLa2B2S6 crystal.

Cell lengths 5.852, 7.298, 7.505 Å; angles 108.84, 100.11, 106.20 degrees
Space group P-1 (No. 2)
One atom of each set of equivalent atoms:
Rb 0.000 0.000 0.000 x1
La 0.258 0.395 0.687 x2
B 0.287 0.735 0.264 x2
S 0.183 0.937 0.392 x2
S 0.219 0.501 0.327 x2
S 0.436 0.743 0.068 x2

M_tot in μB per formula unit: 0.00
E_tot in eV/atom: -5.663
Density of states at the Fermi level in states/eV per cell: 4.12

---

Entry 16:
## CaGaF2 (PBE-GGA)

Data for a relaxed CaGaF2 crystal.

Cell lengths 5.998, 5.998, 11.014 Å; angles 90.00, 90.00, 90.00 degrees
Space group I-42d (No. 122)
One atom of each set of equivalent atoms:
Ca 0.000 0.000 0.000 x4
Ga 0.000 0.000 0.500 x4
F 0.122 0.250 0.125 x8

M_tot in μB per formula unit: 0.79
E_tot in eV/atom: -4.516
Density of states at the Fermi level in states/eV per cell: 6.97
Energy above the lowest structure with this stoichiometry in meV/atom: 277.9

---

Entry 17:
## Co2ReNi (PBE-GGA)

Data for a relaxed Co2ReNi crystal.

Cell lengths 2.6197, 2.6197, 24.6356 Å; angles 90.00, 90.00, 120.00 degrees
Space group R-3m (No. 166, hexagonal axes)
One atom of each set of equivalent atoms:
Co 0.0000 0.0000 0.2474 x6
Re 0.0000 0.0000 0.0000 x3
Ni 0.0000 0.0000 0.5000 x3

M_tot in μB per formula unit: 2.84
E_tot in eV/atom: -7.947
Energy relative to the elements in meV/atom: 163.6
Density of states at the Fermi level in states/eV per cell: 16.90
Energy above the lowest structure with this stoichiometry in meV/atom: 152.1

---

Entry 18:
## PaGePb2O8 (PBE-GGA)

Data for a relaxed PaGePb2O8 crystal.

Cell lengths 7.050, 7.118, 6.766 Å; angles 90.00, 90.00, 90.00 degrees
Space group Cmmm (No. 65)
One atom of each set of equivalent atoms:
Pa 0.000 0.000 0.000 x2
Ge 0.000 0.000 0.500 x2
Pb 0.000 0.500 0.266 x4
O 0.000 0.177 0.272 x8
O 0.196 0.500 0.000 x4
O 0.228 0.500 0.500 x4

M_tot in μB per formula unit: 0.00
E_tot in eV/atom: -6.843
Density of states at the Fermi level in states/eV per cell: 5.33

---

Entry 19:
## CaTc4P (PBE-GGA)

Data for a relaxed CaTc4P crystal.

Cell lengths 7.407, 7.407, 7.407 Å; angles 90.00, 90.00, 90.00 degrees
Space group F-43m (No. 216)
One atom of each set of equivalent atoms:
Ca 0.000 0.000 0.000 x4
Tc 0.124 0.124 0.376 x16
P 0.250 0.250 0.750 x4

M_tot in μB per formula unit: 0.00
E_tot in eV/atom: -7.666
Energy relative to the elements in meV/atom: 480.0
Density of states at the Fermi level in states/eV per cell: 29.43

---

Entry 20:
## Zr3N2 (PBE-GGA)

Data for a relaxed Zr3N2 crystal.

Cell lengths 3.840, 3.840, 5.494 Å; angles 90.00, 90.00, 90.00 degrees
Space group P-4m2 (No. 115)
One atom of each set of equivalent atoms:
Zr 0.000 0.000 0.000 x1
Zr 0.000 0.000 0.500 x1
Zr 0.500 0.500 0.000 x1
N 0.000 0.500 0.256 x2

M_tot in μB per formula unit: 0.00
E_tot in eV/atom: -8.986
Density of states at the Fermi level in states/eV per cell: 1.78

---

Entry 21:
## Ac2BiCl (PBE-GGA)

Data for a relaxed Ac2BiCl crystal.

Cell lengths 4.5011, 4.5011, 25.2704 Å; angles 90.00, 90.00, 120.00 degrees
Space group R3m (No. 160, hexagonal axes)
One atom of each set of equivalent atoms:
Ac 0.0000 0.0000 0.0000 x3
Ac 0.0000 0.0000 0.1709 x3
Bi 0.0000 0.0000 0.5866 x3
Cl 0.0000 0.0000 0.4153 x3

M_tot in μB per formula unit: 0.18
E_tot in eV/atom: -4.572
Density of states at the Fermi level in states/eV per cell: 7.01
Energy above the lowest structure with this stoichiometry in meV/atom: 19.2

---

Entry 22:
## TiTc2I (PBE-GGA)

Data for a relaxed TiTc2I crystal.

Cell lengths 6.411, 6.411, 6.411 Å; angles 90.00, 90.00, 90.00 degrees
Space group Fm-3m (No. 225)
One atom of each set of equivalent atoms:
Ti 0.000 0.000 0.000 x4
Tc 0.250 0.250 0.250 x8
I 0.000 0.000 0.500 x4

M_tot in μB per formula unit: 0.00
E_tot in eV/atom: -7.111
Density of states at the Fermi level in states/eV per cell: 11.04
Energy above the lowest structure with this stoichiometry in meV/atom: 0.0

---

Entry 23:
## KLaTe2O8 (PBE-GGA)

Data for a relaxed KLaTe2O8 crystal.

Cell lengths 5.562, 5.562, 12.081 Å; angles 90.00, 90.00, 90.00 degrees
Space group I-4 (No. 82)
One atom of each set of equivalent atoms:
K 0.000 0.000 0.000 x2
La 0.000 0.500 0.750 x2
Te 0.000 0.000 0.500 x2
Te 0.000 0.500 0.250 x2
O 0.135 0.239 0.587 x8
O 0.167 0.734 0.173 x8

M_tot in μB per formula unit: 0.00
E_tot in eV/atom: -5.946
Density of states at the Fermi level in states/eV per cell: 0.00

---

Entry 24:
## KMnRe2 (PBE-GGA)

Data for a relaxed KMnRe2 crystal.

Cell lengths 3.084, 4.369, 10.108 Å; angles 90.00, 90.00, 90.00 degrees
Space group Cmmm (No. 65)
One atom of each set of equivalent atoms:
K 0.000 0.000 0.000 x2
Mn 0.000 0.000 0.500 x2
Re 0.000 0.500 0.299 x4

M_tot in μB per formula unit: 2.19
E_tot in eV/atom: -8.024
Energy relative to the elements in meV/atom: 767.0
Density of states at the Fermi level in states/eV per cell: 6.19
Energy above the lowest structure with this stoichiometry in meV/atom: 2.7

---

Entry 25:
## SrScBe2 (PBE-GGA)

Data for a relaxed SrScBe2 crystal.

Cell lengths 4.339, 4.339, 8.507 Å; angles 90.00, 90.00, 90.00 degrees
Space group I-4m2 (No. 119)
One atom of each set of equivalent atoms:
Sr 0.000 0.000 0.000 x2
Sc 0.000 0.500 0.250 x2
Be 0.000 0.000 0.500 x2
Be 0.000 0.500 0.750 x2

M_tot in μB per formula unit: 0.00
E_tot in eV/atom: -3.144
Energy relative to the elements in meV/atom: 721.9
Density of states at the Fermi level in states/eV per cell: 6.68
Energy above the lowest structure with this stoichiometry in meV/atom: 522.0

---

Entry 26:
## AsPbBr2Cl (PBE-GGA)

Data for a relaxed AsPbBr2Cl crystal.

Cell lengths 5.595, 5.595, 5.921 Å; angles 90.00, 90.00, 90.00 degrees
Space group P4/mmm (No. 123)
One atom of each set of equivalent atoms:
As 0.000 0.000 0.000 x1
Pb 0.000 0.000 0.500 x1
Br 0.000 0.500 0.500 x2
Cl 0.500 0.500 0.000 x1

M_tot in μB per formula unit: 1.15
E_tot in eV/atom: -2.466
Density of states at the Fermi level in states/eV per cell: 6.73
Energy above the lowest structure with this stoichiometry in meV/atom: 0.0